Entry 1:
! Tm6As5S | the Alexandria database | PBE | optimized geometry; values from VASP
! M_tot (μB/cell): 0.000
! Uncorrected energy (eV/f.u.): -73.5
! Space group: C2/m, No. 12
! Uncorrected formation energy (eV/atom): -1.61
! N(E_F) (states/eV per cell): 2.5
&SYSTEM
  ibrav = 0, nat = 12, ntyp = 3
/
ATOMIC_SPECIES
Tm 168.93 Tm.upf
As 74.92 As.upf
S 32.06 S.upf
CELL_PARAMETERS angstrom
3.491 -6.043 0.000
3.491 6.043 0.000
-2.326 0.000 6.586
ATOMIC_POSITIONS angstrom
Tm 0.001 2.014 4.940
Tm 1.164 0.000 1.639
Tm 0.001 -2.014 4.940
Tm 4.656 2.014 1.646
Tm 3.493 0.000 4.948
Tm 4.656 -2.014 1.646
As 3.491 4.030 0.000
As 2.328 2.016 3.293
As 3.491 0.000 0.000
As 2.328 -2.016 3.293
As 3.491 -4.030 0.000
S -1.163 0.000 3.293

Entry 2:
! Tm5As4S | the Alexandria database | PBE | optimized geometry; values from VASP
! M_tot (μB/cell): 0.000
! Uncorrected energy (eV/f.u.): -61.4
! Space group: I4/m, No. 87
! Uncorrected formation energy (eV/atom): -1.63
! N(E_F) (states/eV per cell): 2.1
&SYSTEM
  ibrav = 0, nat = 10, ntyp = 3
/
ATOMIC_SPECIES
Tm 168.93 Tm.upf
As 74.92 As.upf
S 32.06 S.upf
CELL_PARAMETERS angstrom
-4.498 4.498 2.847
4.498 -4.498 2.847
4.498 4.498 -2.847
ATOMIC_POSITIONS angstrom
Tm 0.000 0.000 0.000
Tm 3.595 1.803 0.000
Tm 2.695 -0.903 2.847
Tm 1.803 5.400 0.000
Tm 0.903 2.695 2.847
As 6.307 0.894 0.000
As 0.894 2.688 0.000
As 3.603 1.809 2.847
As -1.809 3.603 2.847
S 0.000 0.000 2.847

Entry 3:
! Tm3As2S2 | the Alexandria database | PBE | optimized geometry; values from VASP
! M_tot (μB/cell): 0.000
! Uncorrected energy (eV/f.u.): -41.4
! Space group: C2/m, No. 12
! Uncorrected formation energy (eV/atom): -1.49
! N(E_F) (states/eV per cell): 3.5
&SYSTEM
  ibrav = 0, nat = 7, ntyp = 3
/
ATOMIC_SPECIES
Tm 168.93 Tm.upf
As 74.92 As.upf
S 32.06 S.upf
CELL_PARAMETERS angstrom
7.417 -1.984 0.000
7.417 1.984 0.000
-3.371 0.000 6.241
ATOMIC_POSITIONS angstrom
Tm 0.000 0.000 0.000
Tm 3.110 0.000 1.842
Tm 8.352 0.000 4.399
As 5.361 0.000 0.085
As 6.101 0.000 6.156
S 0.487 0.000 2.697
S 10.975 0.000 3.544